Below is a geometry-optimized Ac3Cd4Ge4 structure, with properties calculated at the PBE level.

Structure (CIF):
```
data_Ac3Cd4Ge4
_symmetry_space_group_name_H-M 'I m m m'
_symmetry_Int_Tables_number 71
_symmetry_space_group_name_Hall '-I 2 2'
_cell_length_a 4.767
_cell_length_b 7.667
_cell_length_c 15.760
_cell_angle_alpha 90.00
_cell_angle_beta 90.00
_cell_angle_gamma 90.00
loop_
_atom_site_label
_atom_site_type_symbol
_atom_site_fract_x
_atom_site_fract_y
_atom_site_fract_z
Ac1 Ac 0.000 0.000 0.000
Ac2 Ac 0.000 0.500 0.124
Cd1 Cd 0.000 0.307 0.333
Ge1 Ge 0.000 0.000 0.215
Ge2 Ge 0.000 0.180 0.500
```

Computed properties:
DFT total energy ... -39.2 eV/f.u.
Total moment ... 0.00 μB per cell
Crystal system ... orthorhombic
Calculated formation energy ... -0.43 eV/atom
Volume ... 576 Å³/cell
Fermi-level density of states ... 11.51 states/eV per cell